First-principles (PBE with a Hubbard U) data for a relaxed structure of MgFe8O8F8, as listed in the Alexandria database.

Output
Crystal system = triclinic
Density of states at the Fermi level = 0.05 states/eV per cell
SG = P1 (1)
E above lowest polymorph = 0.008 eV per atom

Cell: 5.2862 5.3705 11.5400 Å, 91.91 91.59 93.89°
Site moments in Bohr magnetons follow the coordinates.
Positions (direct):
Mg1 0.0637 0.4940 0.1530  0.00
Fe1 0.9194 0.9491 0.9922  4.36
Fe2 0.0478 0.0916 0.7538  3.13
Fe3 0.8971 0.9403 0.5072  4.39
Fe4 0.0433 0.0521 0.2656  3.79
Fe5 0.4080 0.6300 0.8689  4.36
Fe6 0.5672 0.4082 0.3754  4.37
Fe7 0.5638 0.3951 0.1039  3.79
Fe8 0.5690 0.4291 0.6336  4.37
O1 0.8258 0.1895 0.6337  0.14
O2 0.7853 0.1431 0.3825  0.30
O3 0.8487 0.1781 0.1161  0.17
O4 0.3177 0.3669 0.7534  0.28
O5 0.3283 0.3423 0.2453  0.15
O6 0.6728 0.6754 0.9919  0.28
O7 0.6739 0.6409 0.5040  0.32
O8 0.1804 0.8945 0.8770  0.17
F1 0.7924 0.1657 0.8718  0.09
F2 0.2346 0.4192 0.9971  0.07
F3 0.3458 0.2751 0.5038  0.15
F4 0.6703 0.7114 0.7491  0.13
F5 0.7814 0.6080 0.2484  0.07
F6 0.1401 0.8506 0.6344  0.06
F7 0.1521 0.8296 0.3982  0.11
F8 0.1709 0.8342 0.1220  0.06